<one>
# Al5C4 | Alexandria via LeMat-Bulk | PBE | relaxed
# Magnetic moment in μB/atom: 0.00
# ρ in g/cm3: 2.62
data_Al5C4
_space_group_name_H-M_alt 'I 4/m m m'
_space_group_IT_number 139
_space_group_name_Hall '-I 4 2'
_cell_length_a 6.682
_cell_length_b 6.682
_cell_length_c 5.203
_cell_angle_alpha 90.00
_cell_angle_beta 90.00
_cell_angle_gamma 90.00
loop_
_atom_site_label
_atom_site_type_symbol
_atom_site_fract_x
_atom_site_fract_y
_atom_site_fract_z
Al1 Al 0.000 0.000 0.000
Al2 Al 0.205 0.205 0.500
C1 C 0.000 0.310 0.000



<two>
# Al5C4 | Alexandria via LeMat-Bulk | PBE | relaxed
# Magnetic moment in μB/atom: 0.00
# ρ in g/cm3: 3.29
data_Al5C4
_space_group_name_H-M_alt 'P 63/m c m'
_space_group_IT_number 193
_space_group_name_Hall '-P 6c 2'
_cell_length_a 6.0901
_cell_length_b 6.0901
_cell_length_c 5.7551
_cell_angle_alpha 90.00
_cell_angle_beta 90.00
_cell_angle_gamma 120.00
loop_
_atom_site_label
_atom_site_type_symbol
_atom_site_fract_x
_atom_site_fract_y
_atom_site_fract_z
Al1 Al 0.0000 0.2387 0.2500
Al2 Al 0.3333 0.6667 0.0000
C1 C 0.0000 0.0000 0.0000
C2 C 0.0000 0.4328 0.7500



<two> ends up most stable, edging out the next structure by 760 meV per atom.



<one>
# Al5C | Alexandria via LeMat-Bulk | PBE | relaxed
# Magnetic moment in μB/atom: 0.00
# ρ in g/cm3: 2.79
data_Al5C
_space_group_name_H-M_alt 'C 1 m 1'
_space_group_IT_number 8
_space_group_name_Hall 'C -2y'
_cell_length_a 9.295
_cell_length_b 2.926
_cell_length_c 6.663
_cell_angle_alpha 90.00
_cell_angle_beta 105.46
_cell_angle_gamma 90.00
loop_
_atom_site_label
_atom_site_type_symbol
_atom_site_fract_x
_atom_site_fract_y
_atom_site_fract_z
Al1 Al 0.000 0.000 0.000
Al2 Al 0.082 0.500 0.394
Al3 Al 0.202 0.000 0.775
Al4 Al 0.288 0.000 0.192
Al5 Al 0.385 0.500 0.570
C1 C 0.169 0.500 0.985



<two>
# Al5C | Alexandria via LeMat-Bulk | PBE | relaxed
# Magnetic moment in μB/atom: 0.00
# ρ in g/cm3: 2.77
data_Al5C
_space_group_name_H-M_alt 'P -6 2 m'
_space_group_IT_number 189
_space_group_name_Hall 'P -6 -2'
_cell_length_a 4.8242
_cell_length_b 4.8242
_cell_length_c 4.3719
_cell_angle_alpha 90.00
_cell_angle_beta 90.00
_cell_angle_gamma 120.00
loop_
_atom_site_label
_atom_site_type_symbol
_atom_site_fract_x
_atom_site_fract_y
_atom_site_fract_z
Al1 Al 0.0000 0.6834 0.0000
Al2 Al 0.3333 0.6667 0.5000
C1 C 0.0000 0.0000 0.5000



<three>
# Al5C | Alexandria via LeMat-Bulk | PBE | relaxed
# Magnetic moment in μB/atom: 0.00
# ρ in g/cm3: 2.50
data_Al5C
_space_group_name_H-M_alt 'F -4 3 m'
_space_group_IT_number 216
_space_group_name_Hall 'F -4 2 3'
_cell_length_a 7.312
_cell_length_b 7.312
_cell_length_c 7.312
_cell_angle_alpha 90.00
_cell_angle_beta 90.00
_cell_angle_gamma 90.00
loop_
_atom_site_label
_atom_site_type_symbol
_atom_site_fract_x
_atom_site_fract_y
_atom_site_fract_z
Al1 Al 0.000 0.000 0.000
Al2 Al 0.125 0.125 0.625
C1 C 0.250 0.250 0.250



<one> ends up most stable, edging out the next structure by 507 meV per atom.



<one>
# Al3C4 | Alexandria via LeMat-Bulk | PBE | relaxed
# Magnetic moment in μB/atom: 0.00
# ρ in g/cm3: 1.92
data_Al3C4
_space_group_name_H-M_alt 'P -4 3 m'
_space_group_IT_number 215
_space_group_name_Hall 'P -4 2 3'
_cell_length_a 4.814
_cell_length_b 4.814
_cell_length_c 4.814
_cell_angle_alpha 90.00
_cell_angle_beta 90.00
_cell_angle_gamma 90.00
loop_
_atom_site_label
_atom_site_type_symbol
_atom_site_fract_x
_atom_site_fract_y
_atom_site_fract_z
Al1 Al 0.000 0.000 0.500
C1 C 0.187 0.187 0.187



<two>
# Al3C4 | Alexandria via LeMat-Bulk | PBE | relaxed
# Magnetic moment in μB/atom: 0.28
# ρ in g/cm3: 2.87
data_Al3C4
_space_group_name_H-M_alt 'P m -3 m'
_space_group_IT_number 221
_space_group_name_Hall '-P 4 2 3'
_cell_length_a 4.209
_cell_length_b 4.209
_cell_length_c 4.209
_cell_angle_alpha 90.00
_cell_angle_beta 90.00
_cell_angle_gamma 90.00
loop_
_atom_site_label
_atom_site_type_symbol
_atom_site_fract_x
_atom_site_fract_y
_atom_site_fract_z
Al1 Al 0.000 0.000 0.500
C1 C 0.000 0.000 0.000
C2 C 0.000 0.500 0.500



<three>
# Al3C4 | Alexandria via LeMat-Bulk | PBE | relaxed
# Magnetic moment in μB/atom: 0.00
# ρ in g/cm3: 3.07
data_Al3C4
_space_group_name_H-M_alt 'I 4/m m m'
_space_group_IT_number 139
_space_group_name_Hall '-I 4 2'
_cell_length_a 3.203
_cell_length_b 3.203
_cell_length_c 13.605
_cell_angle_alpha 90.00
_cell_angle_beta 90.00
_cell_angle_gamma 90.00
loop_
_atom_site_label
_atom_site_type_symbol
_atom_site_fract_x
_atom_site_fract_y
_atom_site_fract_z
Al1 Al 0.000 0.000 0.000
Al2 Al 0.000 0.000 0.312
C1 C 0.000 0.000 0.162
C2 C 0.000 0.000 0.453



<four>
# Al3C4 | Alexandria via LeMat-Bulk | PBE | relaxed
# Magnetic moment in μB/atom: 0.00
# ρ in g/cm3: 3.02
data_Al3C4
_space_group_name_H-M_alt 'P 6/m m m'
_space_group_IT_number 191
_space_group_name_Hall '-P 6 2'
_cell_length_a 5.5025
_cell_length_b 5.5025
_cell_length_c 2.7057
_cell_angle_alpha 90.00
_cell_angle_beta 90.00
_cell_angle_gamma 120.00
loop_
_atom_site_label
_atom_site_type_symbol
_atom_site_fract_x
_atom_site_fract_y
_atom_site_fract_z
Al1 Al 0.0000 0.5000 0.0000
C1 C 0.0000 0.0000 0.2559
C2 C 0.3333 0.6667 0.5000



<four> ends up most stable, edging out the next structure by 164 meV per atom.



<one>
# Al5C3 | Alexandria via LeMat-Bulk | PBE | relaxed
# Magnetic moment in μB/atom: 0.00
# ρ in g/cm3: 3.16
data_Al5C3
_space_group_name_H-M_alt 'P 63/m c m'
_space_group_IT_number 193
_space_group_name_Hall '-P 6c 2'
_cell_length_a 5.9247
_cell_length_b 5.9247
_cell_length_c 5.9095
_cell_angle_alpha 90.00
_cell_angle_beta 90.00
_cell_angle_gamma 120.00
loop_
_atom_site_label
_atom_site_type_symbol
_atom_site_fract_x
_atom_site_fract_y
_atom_site_fract_z
Al1 Al 0.0000 0.2439 0.2500
Al2 Al 0.3333 0.6667 0.0000
C1 C 0.0000 0.4122 0.7500



<two>
# Al5C3 | Alexandria via LeMat-Bulk | PBE | relaxed
# Magnetic moment in μB/atom: 0.00
# ρ in g/cm3: 3.06
data_Al5C3
_space_group_name_H-M_alt 'C m m m'
_space_group_IT_number 65
_space_group_name_Hall '-C 2 2'
_cell_length_a 6.438
_cell_length_b 9.263
_cell_length_c 3.116
_cell_angle_alpha 90.00
_cell_angle_beta 90.00
_cell_angle_gamma 90.00
loop_
_atom_site_label
_atom_site_type_symbol
_atom_site_fract_x
_atom_site_fract_y
_atom_site_fract_z
Al1 Al 0.000 0.000 0.000
Al2 Al 0.194 0.500 0.500
Al3 Al 0.250 0.250 0.000
C1 C 0.000 0.166 0.500
C2 C 0.000 0.500 0.000



<one> ends up most stable, edging out the next structure by 244 meV per atom.